Model P:
Material: K3TaO
Method: DFT, PBE-GGA
State: relaxed

Space group: Pm-3m (221)

Geometry as extended XYZ:
```
5
Lattice="-1.3023 -1.7463 4.9477 3.7915 -3.8370 -0.3563 3.6268 3.3842 2.1491" Properties=species:S:1:pos:R:3 pbc="T T T"
K 1.8958 -1.9185 -0.1782
K 1.8134 1.6921 1.0745
K -0.6511 -0.8732 2.4739
O 0.0000 0.0000 0.0000
Ta 3.0580 -1.0996 3.3702
```


Model Q:
Material: K3TaO
Method: DFT, PBE-GGA
State: relaxed

Space group: Pm-3m (221)

Geometry as extended XYZ:
```
5
Lattice="-3.6594 1.9853 -5.1289 -4.4607 -4.6749 1.3731 -3.2170 4.2240 3.9303" Properties=species:S:1:pos:R:3 pbc="T T T"
K -2.2304 -2.3375 0.6866
K -1.6085 2.1120 1.9652
K -1.8297 0.9927 -2.5645
O -5.6686 0.7672 0.0873
Ta 0.0000 0.0000 0.0000
```


Of the structures shown above, model P is the most stable.